Computed, not measured: IrRuPb2 after structural relaxation at the PBE level of DFT.

The space group is Imm2 (No. 44) and the conventional cell measures 3.296, 4.489 and 10.731 Å, with angles of 90.00, 90.00 and 90.00 degrees. Symmetry generates all atoms from Ir at (0.000, 0.000, 0.000), Ru at (0.000, 0.500, 0.238), Pb at (0.000, 0.000, 0.518) and Pb at (0.000, 0.500, 0.747).

For the total energy, the calculation gives -5.765 eV per atom. Its energy of formation is 2.49 eV/f.u.